a | A relaxed structure of ErTm4In2. Source: the Alexandria database, functional PBE-GGA.

a b c (Å): 6.7499 10.5384 6.6999
angles (deg): 90.00 119.57 90.00
Closest atoms and distances in Å follow each position.
Space group P2_1/c (No. 14)
Symmetry-distinct sites (fractional):
1 Er 0.0000 0.0000 0.0000 (multiplicity 2)  2 In 3.08
2 Tm 0.0841 0.1704 0.5418 (multiplicity 4)  1 In 3.01
3 Tm 0.3933 0.7484 0.4470 (multiplicity 4)  4 In 3.04-3.34, 4 Tm 3.35-3.37
4 In 0.4751 0.5136 0.2344 (multiplicity 4)  5 Tm 3.01-3.34, 1 Er 3.08, 1 In 3.33

Values from the calculation:
M_tot in μB/cell: 0.00

b | A relaxed structure of ErTm4In2. Source: the Alexandria database, functional PBE-GGA.

a b c (Å): 5.1026 5.1026 29.8592
angles (deg): 90.00 90.00 120.00
Closest atoms and distances in Å follow each position.
Space group R-3m (No. 166, hexagonal axes)
Symmetry-distinct sites (fractional):
1 Er 0.0000 0.0000 0.0000 (multiplicity 3)  2 In 3.02, 6 Tm 3.34
2 Tm 0.0000 0.0000 0.2065 (multiplicity 6)  4 In 3.05-3.15
3 Tm 0.0000 0.0000 0.3859 (multiplicity 6)  3 In 3.28, 3 Er 3.34
4 In 0.0000 0.0000 0.1010 (multiplicity 6)  1 Er 3.02, 7 Tm 3.05-3.28

Values from the calculation:
M_tot in μB/cell: 0.00

How do the energies compare? Relative to the most stable structure, in kJ/mol of atoms: a 0.0; b 17.8.

a | A relaxed structure of Y2ErIn. Source: the Alexandria database, functional PBE-GGA.

a b c (Å): 6.6188 5.2284 7.0011
angles (deg): 90.00 105.24 90.00
Closest atoms and distances in Å follow each position.
Space group P2_1/m (No. 11)
Symmetry-distinct sites (fractional):
1 Y 0.1395 0.2500 0.4089 (multiplicity 2)  4 In 3.24-3.58, 3 Er 3.44-3.54, 4 Y 3.50-3.62
2 Y 0.1736 0.2500 0.9166 (multiplicity 2)  3 In 3.39-3.43, 4 Er 3.41-3.49, 4 Y 3.50-3.72
3 Er 0.3733 0.7500 0.2284 (multiplicity 2)  3 In 3.09-3.40, 5 Y 3.41-3.44
4 In 0.3678 0.7500 0.7133 (multiplicity 2)  3 Er 3.09-3.40, 6 Y 3.24-3.46

Values from the calculation:
M_tot in μB/cell: 0.02

b | A relaxed structure of Y2ErIn. Source: the Alexandria database, functional PBE-GGA.

a b c (Å): 3.5820 3.5820 9.1950
angles (deg): 90.00 90.00 90.00
Closest atoms and distances in Å follow each position.
Space group P4/mmm (No. 123)
Symmetry-distinct sites (fractional):
1 Y 0.0000 0.0000 0.2277 (multiplicity 2)  4 In 3.29, 4 Er 3.56, 4 Y 3.58
2 Er 0.5000 0.5000 0.5000 (multiplicity 1)  8 Y 3.56, 4 Er 3.58
3 In 0.5000 0.5000 0.0000 (multiplicity 1)  8 Y 3.29, 4 In 3.58

Values from the calculation:
M_tot in μB/cell: 0.00

c | A relaxed structure of Y2ErIn. Source: the Alexandria database, functional PBE-GGA.

a b c (Å): 7.7028 7.7028 7.7028
angles (deg): 90.00 90.00 90.00
Closest atoms and distances in Å follow each position.
Space group Fm-3m (No. 225)
Symmetry-distinct sites (fractional):
1 Y 0.2500 0.2500 0.2500 (multiplicity 8)  4 In 3.34, 4 Er 3.34
2 Er 0.0000 0.0000 0.0000 (multiplicity 4)  8 Y 3.34
3 In 0.0000 0.0000 0.5000 (multiplicity 4)  8 Y 3.34

Values from the calculation:
M_tot in μB/cell: 4.58

How do the energies compare? Relative to the most stable structure, in kJ/mol of atoms: a 0.0; b 2.2; c 11.4.

a | A relaxed structure of Y2ErIn. Source: the Alexandria database, functional PBE-GGA.

a b c (Å): 12.6371 3.8406 5.3541
angles (deg): 90.00 115.06 90.00
Closest atoms and distances in Å follow each position.
Space group Cm (No. 8)
Symmetry-distinct sites (fractional):
1 Y 0.0000 0.0000 0.0000 (multiplicity 2)  4 In 3.29-3.30
2 Y 0.2232 0.0000 0.7224 (multiplicity 2)  2 In 3.21, 4 Er 3.35
3 Er 0.2759 0.5000 0.2751 (multiplicity 2)  2 In 3.19, 4 Y 3.35
4 In 0.4980 0.0000 0.4982 (multiplicity 2)  2 Er 3.19, 6 Y 3.21-3.30

Values from the calculation:
M_tot in μB/cell: 0.00

b | A relaxed structure of Y2ErIn. Source: the Alexandria database, functional PBE-GGA.

a b c (Å): 4.8528 4.8528 4.8233
angles (deg): 90.00 90.00 90.00
Closest atoms and distances in Å follow each position.
Space group P4/mmm (No. 123)
Symmetry-distinct sites (fractional):
1 Y 0.0000 0.5000 0.0000 (multiplicity 2)  4 In 3.42, 4 Er 3.42, 4 Y 3.43
2 Er 0.0000 0.0000 0.5000 (multiplicity 1)  8 Y 3.42, 4 In 3.43
3 In 0.5000 0.5000 0.5000 (multiplicity 1)  8 Y 3.42, 4 Er 3.43

Values from the calculation:
M_tot in μB/cell: 0.43

How do the energies compare? Relative to the most stable structure, in kJ/mol of atoms: a 0.7; b 0.0.

a | A relaxed structure of Y3ErIn2. Source: the Alexandria database, functional PBE-GGA.

a b c (Å): 5.1759 9.8222 6.7213
angles (deg): 90.00 90.00 90.00
Closest atoms and distances in Å follow each position.
Space group Pmc2_1 (No. 26)
Symmetry-distinct sites (fractional):
1 Y 0.0000 0.0369 0.0000 (multiplicity 2)  5 In 3.23-3.56, 4 Y 3.44-3.51
2 Y 0.0000 0.3203 0.3494 (multiplicity 2)  5 In 3.16-3.53, 2 Er 3.49
3 Y 0.5000 0.1831 0.7206 (multiplicity 2)  5 In 3.19-3.55, 2 Y 3.51
4 Er 0.5000 0.4626 0.0701 (multiplicity 2)  5 In 3.23-3.57, 2 Er 3.44, 3 Y 3.49-3.61
5 In 0.0000 0.3584 0.8265 (multiplicity 2)  6 Y 3.16-3.53, 2 Er 3.23
6 In 0.5000 0.1414 0.2451 (multiplicity 2)  9 Y 3.19-3.56, 1 Er 3.37

Values from the calculation:
M_tot in μB/cell: 0.00

b | A relaxed structure of Y3ErIn2. Source: the Alexandria database, functional PBE-GGA.

a b c (Å): 4.9062 4.4900 8.0728
angles (deg): 90.00 107.63 90.00
Closest atoms and distances in Å follow each position.
Space group P2/m (No. 10)
Symmetry-distinct sites (fractional):
1 Y 0.0000 0.0000 0.0000 (multiplicity 1)  4 In 3.26, 4 Er 3.33, 4 Y 3.61-3.62
2 Y 0.3274 0.0000 0.6549 (multiplicity 2)  6 In 3.34-3.49, 4 Y 3.42-3.62, 2 Er 3.48
3 Er 0.5000 0.5000 0.0000 (multiplicity 1)  8 Y 3.33-3.48, 4 In 3.40-3.41
4 In 0.1535 0.5000 0.3070 (multiplicity 2)  8 Y 3.26-3.49, 2 Er 3.40-3.41

Values from the calculation:
M_tot in μB/cell: 0.00

How do the energies compare? Relative to the most stable structure, in kJ/mol of atoms: a 0.0; b 6.4.

a | A relaxed structure of Y5Er4In. Source: the Alexandria database, functional PBE-GGA.

a b c (Å): 10.2525 10.2525 6.1446
angles (deg): 90.00 90.00 90.00
Closest atoms and distances in Å follow each position.
Space group I4 (No. 79)
Symmetry-distinct sites (fractional):
1 Y 0.0000 0.0000 0.0000 (multiplicity 2)  1 In 2.88
2 Y 0.1479 0.2266 0.6832 (multiplicity 8)  1 In 3.07, 3 Er 3.24-3.44, 1 Y 3.39
3 Er 0.0421 0.3465 0.1918 (multiplicity 8)  4 Y 3.24-3.53, 1 Er 3.26
4 In 0.0000 0.0000 0.4684 (multiplicity 2)  5 Y 2.88-3.07

Values from the calculation:
M_tot in μB/cell: 0.00

b | A relaxed structure of Y5Er4In. Source: the Alexandria database, functional PBE-GGA.

a b c (Å): 3.5484 3.5484 24.3210
angles (deg): 90.00 90.00 90.00
Closest atoms and distances in Å follow each position.
Space group P4/mmm (No. 123)
Symmetry-distinct sites (fractional):
1 Y 0.0000 0.0000 0.0000 (multiplicity 1)  8 Er 3.55, 4 Y 3.55
2 Y 0.0000 0.0000 0.2060 (multiplicity 2)  8 Er 3.54-3.55, 4 Y 3.55
3 Y 0.0000 0.0000 0.4128 (multiplicity 2)  4 In 3.28, 4 Y 3.55, 4 Er 3.56
4 Er 0.5000 0.5000 0.1031 (multiplicity 2)  8 Y 3.54-3.55, 4 Er 3.55
5 Er 0.5000 0.5000 0.3091 (multiplicity 2)  8 Y 3.55-3.56, 4 Er 3.55
6 In 0.5000 0.5000 0.5000 (multiplicity 1)  8 Y 3.28, 4 In 3.55

Values from the calculation:
M_tot in μB/cell: 0.00

How do the energies compare? Relative to the most stable structure, in kJ/mol of atoms: a 27.5; b 0.0.

a | A relaxed structure of Y2Er2In. Source: the Alexandria database, functional PBE-GGA.

a b c (Å): 8.0958 8.0958 4.7179
angles (deg): 90.00 90.00 90.00
Closest atoms and distances in Å follow each position.
Space group P4/mbm (No. 127)
Symmetry-distinct sites (fractional):
1 Y 0.1533 0.3467 0.0000 (multiplicity 4)  6 Er 3.28-3.39, 1 Y 3.51
2 Er 0.1470 0.6470 0.5000 (multiplicity 4)  2 In 3.10, 6 Y 3.28-3.39, 1 Er 3.37
3 In 0.0000 0.0000 0.5000 (multiplicity 2)  4 Er 3.10

Values from the calculation:
M_tot in μB/cell: 0.00

b | A relaxed structure of Y2Er2In. Source: the Alexandria database, functional PBE-GGA.

a b c (Å): 12.0066 5.4152 9.3580
angles (deg): 90.00 105.23 90.00
Closest atoms and distances in Å follow each position.
Space group C2/m (No. 12)
Symmetry-distinct sites (fractional):
1 Y 0.0255 0.0000 0.3414 (multiplicity 4)  4 Er 3.17-3.46, 2 Y 3.18-3.48, 1 In 3.20
2 Y 0.1559 0.0000 0.0510 (multiplicity 4)  3 In 3.33-3.34, 3 Er 3.47-3.71, 2 Y 3.48-3.61
3 Er 0.0236 0.5000 0.8415 (multiplicity 4)  2 Er 3.16-3.45, 1 In 3.17, 4 Y 3.17-3.47
4 Er 0.1523 0.5000 0.5521 (multiplicity 4)  3 In 3.29-3.30, 2 Er 3.45-3.53, 2 Y 3.46
5 In 0.2502 0.0000 0.7457 (multiplicity 4)  4 Er 3.17-3.30, 4 Y 3.20-3.34

Values from the calculation:
M_tot in μB/cell: 0.00

How do the energies compare? Relative to the most stable structure, in kJ/mol of atoms: a 18.5; b 0.0.

a | A relaxed structure of Y2ErIn2. Source: the Alexandria database, functional PBE-GGA.

a b c (Å): 8.1432 8.1432 4.3424
angles (deg): 90.00 90.00 90.00
Closest atoms and distances in Å follow each position.
Space group P4/mbm (No. 127)
Symmetry-distinct sites (fractional):
1 Y 0.1742 0.3258 0.0000 (multiplicity 4)  6 In 3.16-3.30
2 Er 0.0000 0.0000 0.5000 (multiplicity 2)  4 In 3.21
3 In 0.1266 0.6266 0.5000 (multiplicity 4)  1 In 2.92, 2 Y 3.16, 2 Er 3.21

Values from the calculation:
M_tot in μB/cell: 0.00

b | A relaxed structure of Y2ErIn2. Source: the Alexandria database, functional PBE-GGA.

a b c (Å): 3.7536 5.3273 13.9427
angles (deg): 90.00 97.75 90.00
Closest atoms and distances in Å follow each position.
Space group P2_1/m (No. 11)
Symmetry-distinct sites (fractional):
1 Y 0.0477 0.2500 0.0956 (multiplicity 2)  8 In 3.25-3.31
2 Y 0.2370 0.2500 0.4740 (multiplicity 2)  2 In 3.19, 4 Y 3.34
3 Er 0.1488 0.7500 0.2988 (multiplicity 2)  6 In 3.26-3.31, 2 Y 3.60
4 In 0.3569 0.7500 0.7126 (multiplicity 2)  4 Y 3.19-3.25, 4 Er 3.26
5 In 0.4491 0.2500 0.8985 (multiplicity 2)  6 Y 3.26-3.31, 2 Er 3.31

Values from the calculation:
M_tot in μB/cell: 0.00

How do the energies compare? Relative to the most stable structure, in kJ/mol of atoms: a 0.0; b 1.3.

a | A relaxed structure of YErIn. Source: the Alexandria database, functional PBE-GGA.

a b c (Å): 5.2122 5.2122 3.6287
angles (deg): 90.00 90.00 120.00
Closest atoms and distances in Å follow each position.
Space group P3m1 (No. 156)
Symmetry-distinct sites (fractional):
1 Y 0.0000 0.0000 0.0000 (multiplicity 1)  3 In 3.21, 3 Er 3.41
2 Er 0.6667 0.3333 0.5554 (multiplicity 1)  3 In 3.14, 3 Y 3.41
3 In 0.3333 0.6667 0.3100 (multiplicity 1)  3 Er 3.14, 3 Y 3.21

Values from the calculation:
M_tot in μB/cell: 0.00

b | A relaxed structure of YErIn. Source: the Alexandria database, functional PBE-GGA.

a b c (Å): 4.8147 4.8147 7.7604
angles (deg): 90.00 90.00 90.00
Closest atoms and distances in Å follow each position.
Space group P4/nmm (No. 129, origin choice 2)
Symmetry-distinct sites (fractional):
1 Y 0.2500 0.2500 0.2104 (multiplicity 2)  4 In 3.29, 5 Er 3.41-3.45
2 Er 0.2500 0.2500 0.7658 (multiplicity 2)  4 In 3.17, 5 Y 3.41-3.45
3 In 0.2500 0.7500 0.5000 (multiplicity 2)  4 Er 3.17, 4 Y 3.29, 4 In 3.40

Values from the calculation:
M_tot in μB/cell: 1.43

c | A relaxed structure of YErIn. Source: the Alexandria database, functional PBE-GGA.

a b c (Å): 3.5329 3.5329 13.6737
angles (deg): 90.00 90.00 90.00
Closest atoms and distances in Å follow each position.
Space group I4mm (No. 107)
Symmetry-distinct sites (fractional):
1 Y 0.0000 0.0000 0.0000 (multiplicity 2)  4 In 3.30, 4 Y 3.53, 4 Er 3.59
2 Er 0.0000 0.0000 0.3114 (multiplicity 2)  4 In 3.27, 4 Er 3.53, 4 Y 3.59
3 In 0.0000 0.0000 0.6571 (multiplicity 2)  4 Er 3.27, 4 Y 3.30, 4 In 3.53

Values from the calculation:
M_tot in μB/cell: 0.00

How do the energies compare? Relative to the most stable structure, in kJ/mol of atoms: a 8.9; b 23.9; c 0.0.